# LaCr3Os (PBE, optimized geometry)
data_LaCr3Os
_space_group_name_H-M_alt 'P m -3 m'
_space_group_IT_number 221
_space_group_name_Hall '-P 4 2 3'
_cell_length_a 4.746
_cell_length_b 4.746
_cell_length_c 4.746
_cell_angle_alpha 90.00
_cell_angle_beta 90.00
_cell_angle_gamma 90.00
loop_
_atom_site_label
_atom_site_type_symbol
_atom_site_fract_x
_atom_site_fract_y
_atom_site_fract_z
La1 La 0.000 0.000 0.000
Cr1 Cr 0.000 0.500 0.500
Os1 Os 0.500 0.500 0.500
# **N(E_F)**: 5.4 states/eV per cell
# **Formation energy**: 0.761 eV/atom
# **Total moment**: 8.136 μB per formula unit


# LaCrOs2 (PBE, optimized geometry)
data_LaCrOs2
_space_group_name_H-M_alt 'P 4/m m m'
_space_group_IT_number 123
_space_group_name_Hall '-P 4 2'
_cell_length_a 4.283
_cell_length_b 4.283
_cell_length_c 3.947
_cell_angle_alpha 90.00
_cell_angle_beta 90.00
_cell_angle_gamma 90.00
loop_
_atom_site_label
_atom_site_type_symbol
_atom_site_fract_x
_atom_site_fract_y
_atom_site_fract_z
La1 La 0.000 0.000 0.000
Cr1 Cr 0.500 0.500 0.000
Os1 Os 0.000 0.500 0.500
# **N(E_F)**: 4.5 states/eV per cell
# **Formation energy**: 0.669 eV/atom
# **Total moment**: 3.049 μB per formula unit


# La2CrOs (PBE, optimized geometry)
data_La2CrOs
_space_group_name_H-M_alt 'P m m m'
_space_group_IT_number 47
_space_group_name_Hall '-P 2 2'
_cell_length_a 3.555
_cell_length_b 3.599
_cell_length_c 7.650
_cell_angle_alpha 90.00
_cell_angle_beta 90.00
_cell_angle_gamma 90.00
loop_
_atom_site_label
_atom_site_type_symbol
_atom_site_fract_x
_atom_site_fract_y
_atom_site_fract_z
La1 La 0.000 0.000 0.230
Cr1 Cr 0.500 0.500 0.500
Os1 Os 0.500 0.500 0.000
# **N(E_F)**: 2.6 states/eV per cell
# **Formation energy**: 0.304 eV/atom
# **Total moment**: 4.145 μB per formula unit


# LaCr2Os (PBE, optimized geometry)
data_LaCr2Os
_space_group_name_H-M_alt 'F m -3 m'
_space_group_IT_number 225
_space_group_name_Hall '-F 4 2 3'
_cell_length_a 6.347
_cell_length_b 6.347
_cell_length_c 6.347
_cell_angle_alpha 90.00
_cell_angle_beta 90.00
_cell_angle_gamma 90.00
loop_
_atom_site_label
_atom_site_type_symbol
_atom_site_fract_x
_atom_site_fract_y
_atom_site_fract_z
La1 La 0.000 0.000 0.000
Cr1 Cr 0.250 0.250 0.250
Os1 Os 0.000 0.000 0.500
# **N(E_F)**: 10.7 states/eV per cell
# **Formation energy**: 0.591 eV/atom
# **Total moment**: 0.000 μB per formula unit


# La2CrOs (PBE, optimized geometry)
data_La2CrOs
_space_group_name_H-M_alt 'F m -3 m'
_space_group_IT_number 225
_space_group_name_Hall '-F 4 2 3'
_cell_length_a 7.283
_cell_length_b 7.283
_cell_length_c 7.283
_cell_angle_alpha 90.00
_cell_angle_beta 90.00
_cell_angle_gamma 90.00
loop_
_atom_site_label
_atom_site_type_symbol
_atom_site_fract_x
_atom_site_fract_y
_atom_site_fract_z
La1 La 0.250 0.250 0.250
Cr1 Cr 0.000 0.000 0.000
Os1 Os 0.000 0.000 0.500
# **N(E_F)**: 10.6 states/eV per cell
# **Formation energy**: 0.296 eV/atom
# **Total moment**: 4.125 μB per formula unit


# LaCr2Os2 (PBE, optimized geometry)
data_LaCr2Os2
_space_group_name_H-M_alt 'I 4/m m m'
_space_group_IT_number 139
_space_group_name_Hall '-I 4 2'
_cell_length_a 4.194
_cell_length_b 4.194
_cell_length_c 10.162
_cell_angle_alpha 90.00
_cell_angle_beta 90.00
_cell_angle_gamma 90.00
loop_
_atom_site_label
_atom_site_type_symbol
_atom_site_fract_x
_atom_site_fract_y
_atom_site_fract_z
La1 La 0.000 0.000 0.000
Cr1 Cr 0.000 0.000 0.373
Os1 Os 0.000 0.500 0.250
# **N(E_F)**: 11.1 states/eV per cell
# **Formation energy**: 0.119 eV/atom
# **Total moment**: 0.000 μB per formula unit


# LaCrOs2 (PBE, optimized geometry)
data_LaCrOs2
_space_group_name_H-M_alt 'R 3 m'
_space_group_IT_number 160
_space_group_name_Hall 'R 3 -2"'
_cell_length_a 2.8369
_cell_length_b 2.8369
_cell_length_c 29.0723
_cell_angle_alpha 90.00
_cell_angle_beta 90.00
_cell_angle_gamma 120.00
loop_
_atom_site_label
_atom_site_type_symbol
_atom_site_fract_x
_atom_site_fract_y
_atom_site_fract_z
La1 La 0.0000 0.0000 0.0000
Cr1 Cr 0.0000 0.0000 0.2399
Os1 Os 0.0000 0.0000 0.5048
Os2 Os 0.0000 0.0000 0.7648
# **N(E_F)**: 12.4 states/eV per cell
# **Formation energy**: 0.751 eV/atom
# **Total moment**: 0.001 μB per formula unit


# LaCrOs2S (PBE, optimized geometry)
data_LaCrOs2S
_space_group_name_H-M_alt 'P 4/m m m'
_space_group_IT_number 123
_space_group_name_Hall '-P 4 2'
_cell_length_a 4.351
_cell_length_b 4.351
_cell_length_c 6.080
_cell_angle_alpha 90.00
_cell_angle_beta 90.00
_cell_angle_gamma 90.00
loop_
_atom_site_label
_atom_site_type_symbol
_atom_site_fract_x
_atom_site_fract_y
_atom_site_fract_z
La1 La 0.000 0.000 0.000
Cr1 Cr 0.000 0.000 0.500
Os1 Os 0.000 0.500 0.500
S1 S 0.500 0.500 0.000
# **N(E_F)**: 5.6 states/eV per cell
# **ΔE_f (raw)**: 0.904 eV/atom
# **Total moment**: 0.000 μB per formula unit